Entry 1:
A plane-wave DFT calculation with GGA-PBEsol was carried out for a relaxed structure of MnZn2CCl.

The structure in CIF format:
```
data_MnZn2CCl
_chemical_formula_sum 'Mn1 Zn2 C1 Cl1'
_cell_length_a 4.825
_cell_length_b 4.825
_cell_length_c 4.284
_cell_angle_alpha 90.00
_cell_angle_beta 90.00
_cell_angle_gamma 90.00
_symmetry_space_group_name_H-M 'P 1'
_symmetry_Int_Tables_number 1
loop_
_symmetry_equiv_pos_as_xyz
'x,y,z'
loop_
_atom_site_label
_atom_site_fract_x
_atom_site_fract_y
_atom_site_fract_z
_atom_site_occupancy
Mn1 0.000 0.000 0.000 1
Zn1 0.000 0.500 0.000 1
Zn2 0.500 0.000 0.000 1
C1 0.500 0.500 0.500 1
Cl1 0.000 0.000 0.500 1
```

Calculated values
As for the energy relative to the elements, uncorrected: 1.673 eV per atom. Its total energy is -3.242 eV per atom. Its total magnetization is 5.005 μB per formula unit. The density of states at the Fermi level is 3.2 states/eV/f.u. As for the theoretical density: 3.9 g/cm3.

=====

Entry 2:
A plane-wave DFT calculation with GGA-PBEsol was carried out for a relaxed structure of SrMg6Nb.

The structure in CIF format:
```
data_SrMg6Nb
_chemical_formula_sum 'Sr1 Mg6 Nb1'
_cell_length_a 6.461
_cell_length_b 6.461
_cell_length_c 4.528
_cell_angle_alpha 90.00
_cell_angle_beta 90.00
_cell_angle_gamma 90.00
_symmetry_space_group_name_H-M 'P 1'
_symmetry_Int_Tables_number 1
loop_
_symmetry_equiv_pos_as_xyz
'x,y,z'
loop_
_atom_site_label
_atom_site_fract_x
_atom_site_fract_y
_atom_site_fract_z
_atom_site_occupancy
Sr1 0.000 0.000 0.000 1
Mg1 0.000 0.500 0.000 1
Mg2 0.276 0.276 0.500 1
Mg3 0.276 0.724 0.500 1
Mg4 0.500 0.000 0.000 1
Mg5 0.724 0.276 0.500 1
Mg6 0.724 0.724 0.500 1
Nb1 0.500 0.500 0.000 1
```

Calculated values
As for the energy of formation: 3.97 kcal/mol of atoms. Its total energy is -2.699 eV per atom. Its total magnetization is 0.271 μB per formula unit. The density of states at the Fermi level is 7.4 states/eV/f.u. As for the theoretical density: 2.9 g/cm3.